SrW3: single point on PBEsol structure, SCAN.

## Properties
The energy relative to the lowest polymorph listed for this composition is 0.081 eV/atom. As for the total magnetization: 0.00 μB/f.u. The formation energy is 1314 meV per atom. As for the total energy: -226.08 eV for the cell shown.

Cell: 2.7114 5.6084 5.6084 Å, 117.45 99.27 99.27°
Last column: nearest neighbours and their distance in Å.
Sites, in units of the cell vectors:
1 W 0.5000 0.0000 0.5000  6 W 2.71-2.91, 2 Sr 2.91
2 W 0.0000 0.5000 0.5000  6 W 2.71-2.91, 2 Sr 2.91
3 W 0.5000 0.5000 0.0000  6 W 2.71-2.91, 2 Sr 2.91
4 Sr 0.0000 0.0000 0.0000  2 Sr 2.71, 6 W 2.91